{"formula": "HoSn2Pd7", "functional": "PBE", "state": "optimized geometry", "spacegroup": "Cmmm (65)", "lattice_angstrom": [[3.690, -6.702, 0.000], [3.690, 6.702, 0.000], [0.000, 0.000, 4.455]], "species": ["Ho", "Sn", "Sn", "Pd", "Pd", "Pd", "Pd", "Pd", "Pd", "Pd"], "frac_coords": [[0.000, 0.000, 0.000], [0.302, 0.698, 0.500], [0.698, 0.302, 0.500], [0.074, 0.290, 0.500], [0.203, 0.797, 0.000], [0.290, 0.074, 0.500], [0.500, 0.500, 0.500], [0.710, 0.926, 0.500], [0.797, 0.203, 0.000], [0.926, 0.710, 0.500]]}



{"formula": "La2ZrMo", "functional": "PBE", "state": "optimized geometry", "spacegroup": "P4/mmm (123)", "lattice_angstrom": [[5.332, 0.000, 0.000], [0.000, 5.332, 0.000], [0.000, 0.000, 3.656]], "species": ["La", "La", "Zr", "Mo"], "frac_coords": [[0.000, 0.500, 0.000], [0.500, 0.000, 0.000], [0.000, 0.000, 0.500], [0.500, 0.500, 0.500]]}



Formation energy from the elements for every record listed, in sequence, given in kJ/mol of atoms: -25.9, 53.1.